(1)
La2Ir3 | GGA-PBEsol | relaxed

Space group: R-3m, No. 166
Energy of formation, eV/atom: -0.42

abc: 4.2429 4.2429 7.7799
angles: 74.18 74.18 60.00
With the nearest neighbours (Å) after each atom.
Atoms (fractional coordinates):
La: 0.4054 0.4054 0.7839  9 Ir 2.92-3.23
La: 0.5946 0.5946 0.2161  9 Ir 2.92-3.23
Ir: 0.8333 0.8333 0.5002  3 Ir 2.45
Ir: 0.0000 0.0000 0.0000  6 La 2.92
Ir: 0.1667 0.1667 0.4998  3 Ir 2.45

***

(2)
GaPCl2O | GGA-PBEsol | relaxed

Space group: P4/mmm, No. 123
E_form (uncorrected), kJ/mol of formula units: -33

abc: 3.2999 5.5691 5.5691
angles: 90.00 90.00 90.00
With the nearest neighbours (Å) after each atom.
Atoms (fractional coordinates):
P: 0.5000 0.0000 0.0000  2 O 1.65
Cl: 0.0000 0.0000 0.5000  2 O 2.78
Cl: 0.0000 0.5000 0.0000  2 O 2.78
Ga: 0.5000 0.5000 0.5000  8 Cl 3.24, 2 Ga 3.30
O: 0.0000 0.0000 0.0000  2 P 1.65

***

(3)
KSrIn4 | GGA-PBEsol | relaxed

Space group: F-43m, No. 216
Energy of formation, eV/atom: -0.28

abc: 6.2180 6.2180 6.2180
angles: 60.00 60.00 60.00
With the nearest neighbours (Å) after each atom.
Atoms (fractional coordinates):
Sr: 0.0000 0.0000 0.0000  12 In 3.65, 4 K 3.81
In: 0.3750 0.8751 0.3750  6 In 3.11
In: 0.3750 0.3750 0.8751  6 In 3.11
In: 0.8751 0.3750 0.3750  6 In 3.11
In: 0.3750 0.3750 0.3750  6 In 3.11
K: 0.7500 0.7500 0.7500  12 In 3.65, 4 Sr 3.81

***

(4)
AlZnSe | GGA-PBEsol | relaxed

Space group: P3m1, No. 156
E_form (uncorrected), kJ/mol of formula units: -72

abc: 3.5952 3.5952 5.0360
angles: 90.00 90.00 120.00
With the nearest neighbours (Å) after each atom.
Atoms (fractional coordinates):
Zn: 0.3333 0.6667 0.3261  3 Al 2.69, 3 Se 2.76
Se: 0.6667 0.3333 0.6868  3 Al 2.57, 3 Zn 2.76
Al: 0.0000 0.0000 0.9871  3 Se 2.57, 3 Zn 2.69

***

(5)
RbIn2GaPt | GGA-PBEsol | relaxed

Space group: P4/mmm, No. 123
Energy of formation, eV/atom: 0.12

abc: 5.1213 5.1213 6.0919
angles: 90.00 90.00 90.00
With the nearest neighbours (Å) after each atom.
Atoms (fractional coordinates):
In: 0.5000 0.0000 0.0000  2 Pt 2.56
In: 0.0000 0.5000 0.0000  2 Pt 2.56
Ga: 0.5000 0.5000 0.5000  4 Rb 3.62, 8 In 3.98
Rb: 0.0000 0.0000 0.5000  2 Pt 3.05
Pt: 0.0000 0.0000 0.0000  4 In 2.56

***

(6)
AlIn3Ga | GGA-PBEsol | relaxed

Space group: Pm-3m, No. 221
Energy of formation, eV/atom: 0.47

abc: 5.2409 5.2409 5.2409
angles: 90.00 90.00 90.00
With the nearest neighbours (Å) after each atom.
Atoms (fractional coordinates):
Ga: 0.5000 0.5000 0.5000  12 In 3.71
In: 0.5000 0.0000 0.0000  2 Al 2.62
In: 0.0000 0.5000 0.0000  2 Al 2.62
In: 0.0000 0.0000 0.5000  2 Al 2.62
Al: 0.0000 0.0000 0.0000  6 In 2.62